Density functional theory data (GGA-PBE) for crystalline ErNi at its relaxed geometry.

Cell lengths 3.5960, 3.5960, 3.6067 Å; angles 90.00, 90.00, 120.00 degrees
Last column: nearest neighbours and their distance in Å.
Space group P-6m2 (No. 187)
One atom of each set of equivalent atoms:
Er 0.0000 0.0000 0.0000  6 Ni 2.75
Ni 0.6667 0.3333 0.5000  6 Er 2.75

- spin magnetization (Bohr magnetons per cell) = 0.0
- VASP energy (eV for the cell shown) = -10.49
- DFT formation energy (eV/atom) = -0.178